A relaxed Sr2Ag16Hg crystal. Source: Alexandria via LeMat-Bulk, functional PBE.

Cell: 7.412 7.412 7.412 Å, 82.95 82.95 82.95°
Element x y z (fractional)
Sr 0.656 0.656 0.656
Sr 0.339 0.339 0.339
Ag 0.698 0.001 0.303
Ag 0.001 0.303 0.698
Ag 0.303 0.698 0.001
Ag 0.001 0.698 0.303
Ag 0.698 0.303 0.001
Ag 0.303 0.001 0.698
Ag 0.346 0.846 0.346
Ag 0.846 0.346 0.346
Ag 0.346 0.346 0.846
Ag 0.652 0.160 0.652
Ag 0.160 0.652 0.652
Ag 0.652 0.652 0.160
Ag 0.002 0.496 0.002
Ag 0.496 0.002 0.002
Ag 0.002 0.002 0.496
Ag 0.098 0.098 0.098
Hg 0.899 0.899 0.899

**ρ**: 8.75 g cm⁻³
**ΔE_f**: -101.3 meV/atom


A relaxed Dy4Ge crystal. Source: Alexandria via LeMat-Bulk, functional PBE.

Cell: 5.511 5.511 5.511 Å, 90.00 90.00 90.00°
Element x y z (fractional)
Ge 0.500 0.500 0.500
Dy 0.000 0.000 0.000
Dy 0.500 0.000 0.500
Dy 0.000 0.500 0.500
Dy 0.500 0.500 0.000

**ρ**: 7.17 g cm⁻³
**ΔE_f**: -17.3 meV/atom


A relaxed PrNp2F8 crystal. Source: Alexandria via LeMat-Bulk, functional PBE.

Cell: 3.914 6.738 6.873 Å, 119.35 106.55 90.00°
Site moments in Bohr magnetons follow the coordinates.
Element x y z (fractional)
Pr 0.500 0.000 0.000  0.14
Np 0.181 0.681 0.362  4.30
Np 0.819 0.319 0.638  4.30
F 0.659 0.886 0.318  -0.01
F 0.341 0.568 0.682  -0.01
F 0.140 0.140 0.280  0.00
F 0.000 0.306 0.000  -0.01
F 0.860 0.860 0.720  0.00
F 0.659 0.432 0.318  -0.01
F 0.341 0.114 0.682  -0.01
F 0.000 0.694 0.000  -0.01

**Formation energy (no corrections)**: -3.41 eV/atom
**ρ**: 8.53 g cm⁻³


A relaxed SnAsCl crystal. Source: Alexandria via LeMat-Bulk, functional PBE.

Cell: 4.130 5.975 15.190 Å, 90.00 90.00 90.00°
Element x y z (fractional)
Sn 0.500 0.488 0.199
Sn 0.000 0.012 0.699
Sn 0.000 0.988 0.301
Sn 0.500 0.512 0.801
As 0.500 0.270 0.652
As 0.000 0.770 0.848
As 0.000 0.230 0.152
As 0.500 0.730 0.348
Cl 0.500 0.239 0.918
Cl 0.000 0.739 0.582
Cl 0.500 0.761 0.082
Cl 0.000 0.261 0.418

**Formation energy (no corrections)**: -0.45 eV/atom
**ρ**: 4.06 g cm⁻³
**Polymorph energy (0 for the lowest one)**: 0.037 eV per formula unit